(1)
# GGA-PBE Na2Nb3Br9, optimized geometry
data_Na2Nb3Br9
_cell_length_a 10.141
_cell_length_b 17.249
_cell_length_c 10.039
_cell_angle_alpha 90.00
_cell_angle_beta 112.59
_cell_angle_gamma 90.00
_symmetry_space_group_name_H-M 'C 1 2/m 1'
_symmetry_Int_Tables_number 12
loop_
_symmetry_equiv_pos_as_xyz
'x,y,z'
'-x,-y,-z'
'-x,y,-z'
'x,-y,z'
'x+1/2,y+1/2,z'
'-x+1/2,-y+1/2,-z'
'-x+1/2,y+1/2,-z'
'x+1/2,-y+1/2,z'
loop_
_atom_site_label
_atom_site_fract_x
_atom_site_fract_y
_atom_site_fract_z
_atom_site_occupancy
Na1 0.123 0.160 0.361 1
Nb1 0.129 0.414 0.136 1
Nb2 0.131 0.500 0.880 1
Br1 0.000 0.289 0.000 1
Br2 0.001 0.395 0.686 1
Br3 0.182 0.000 0.667 1
Br4 0.183 0.106 0.979 1
Br5 0.191 0.000 0.285 1
Br6 0.192 0.203 0.668 1
# Formation energy from raw total energies: -15.02 eV per formula unit
# VASP energy: -4.4943 eV/atom



(2)
# GGA-PBE Rb2NaNbBr6, optimized geometry
data_Rb2NaNbBr6
_cell_length_a 11.119
_cell_length_b 11.119
_cell_length_c 11.119
_cell_angle_alpha 90.00
_cell_angle_beta 90.00
_cell_angle_gamma 90.00
_symmetry_space_group_name_H-M 'F m -3 m'
_symmetry_Int_Tables_number 225
_symmetry_space_group_name_Hall '-F 4 2 3'
loop_
_atom_site_label
_atom_site_fract_x
_atom_site_fract_y
_atom_site_fract_z
_atom_site_occupancy
Rb1 0.250 0.250 0.250 1
Na1 0.000 0.000 0.000 1
Nb1 0.000 0.000 0.500 1
Br1 0.000 0.000 0.261 1
# Formation energy from raw total energies: -13.13 eV per formula unit
# VASP energy: -3.6492 eV/atom



(3)
# GGA-PBE RbNaNbBr6, optimized geometry
data_RbNaNbBr6
_cell_length_a 7.4200
_cell_length_b 7.4200
_cell_length_c 14.6721
_cell_angle_alpha 90.00
_cell_angle_beta 90.00
_cell_angle_gamma 120.00
_symmetry_space_group_name_H-M 'P -3 1 c'
_symmetry_Int_Tables_number 163
_symmetry_space_group_name_Hall '-P 3 2c'
loop_
_atom_site_label
_atom_site_fract_x
_atom_site_fract_y
_atom_site_fract_z
_atom_site_occupancy
Rb1 0.0000 0.0000 0.0000 1
Na1 0.3333 0.6667 0.2500 1
Nb1 0.3333 0.6667 0.7500 1
Br1 0.0396 0.3905 0.6466 1
# Formation energy from raw total energies: -10.82 eV per formula unit
# VASP energy: -3.6907 eV/atom



(4)
# GGA-PBE NaNbSeBr2, optimized geometry
data_NaNbSeBr2
_cell_length_a 4.923
_cell_length_b 4.923
_cell_length_c 5.312
_cell_angle_alpha 90.00
_cell_angle_beta 90.00
_cell_angle_gamma 90.00
_symmetry_space_group_name_H-M 'P 4/m m m'
_symmetry_Int_Tables_number 123
_symmetry_space_group_name_Hall '-P 4 2'
loop_
_atom_site_label
_atom_site_fract_x
_atom_site_fract_y
_atom_site_fract_z
_atom_site_occupancy
Na1 0.000 0.000 0.000 1
Nb1 0.500 0.500 0.500 1
Se1 0.000 0.000 0.500 1
Br1 0.000 0.500 0.000 1
# Formation energy from raw total energies: 2.22 eV per formula unit
# VASP energy: -3.2002 eV/atom



(5)
# GGA-PBE NaNbSeBr2, optimized geometry
data_NaNbSeBr2
_cell_length_a 4.908
_cell_length_b 4.908
_cell_length_c 6.590
_cell_angle_alpha 90.00
_cell_angle_beta 90.00
_cell_angle_gamma 90.00
_symmetry_space_group_name_H-M 'P 4/m m m'
_symmetry_Int_Tables_number 123
_symmetry_space_group_name_Hall '-P 4 2'
loop_
_atom_site_label
_atom_site_fract_x
_atom_site_fract_y
_atom_site_fract_z
_atom_site_occupancy
Na1 0.000 0.000 0.000 1
Nb1 0.000 0.000 0.500 1
Se1 0.500 0.500 0.500 1
Br1 0.000 0.500 0.000 1
# Formation energy from raw total energies: 3.41 eV per formula unit
# VASP energy: -2.9625 eV/atom



(6)
# GGA-PBE NaNbSeBr2, optimized geometry
data_NaNbSeBr2
_cell_length_a 5.448
_cell_length_b 5.448
_cell_length_c 5.032
_cell_angle_alpha 90.00
_cell_angle_beta 90.00
_cell_angle_gamma 90.00
_symmetry_space_group_name_H-M 'P 4/m m m'
_symmetry_Int_Tables_number 123
_symmetry_space_group_name_Hall '-P 4 2'
loop_
_atom_site_label
_atom_site_fract_x
_atom_site_fract_y
_atom_site_fract_z
_atom_site_occupancy
Na1 0.000 0.000 0.000 1
Nb1 0.500 0.500 0.500 1
Se1 0.500 0.500 0.000 1
Br1 0.000 0.500 0.500 1
# Formation energy from raw total energies: -3.39 eV per formula unit
# VASP energy: -4.3220 eV/atom



(7)
# GGA-PBE NaNbTl2Br8, optimized geometry
data_NaNbTl2Br8
_cell_length_a 7.052
_cell_length_b 7.307
_cell_length_c 9.099
_cell_angle_alpha 89.68
_cell_angle_beta 89.50
_cell_angle_gamma 87.25
_symmetry_space_group_name_H-M 'P -1'
_symmetry_Int_Tables_number 2
loop_
_symmetry_equiv_pos_as_xyz
'x,y,z'
'-x,-y,-z'
loop_
_atom_site_label
_atom_site_fract_x
_atom_site_fract_y
_atom_site_fract_z
_atom_site_occupancy
Na1 0.000 0.000 0.000 1
Nb1 0.000 0.000 0.500 1
Tl1 0.497 0.500 0.241 1
Br1 0.174 0.689 0.503 1
Br2 0.222 0.113 0.698 1
Br3 0.226 0.108 0.299 1
Br4 0.258 0.687 0.999 1
# Formation energy from raw total energies: -11.11 eV per formula unit
# VASP energy: -3.3845 eV/atom



(8)
# GGA-PBE NaNbTlBr6, optimized geometry
data_NaNbTlBr6
_cell_length_a 7.3923
_cell_length_b 7.3923
_cell_length_c 13.7353
_cell_angle_alpha 90.00
_cell_angle_beta 90.00
_cell_angle_gamma 120.00
_symmetry_space_group_name_H-M 'P -3 1 c'
_symmetry_Int_Tables_number 163
_symmetry_space_group_name_Hall '-P 3 2c'
loop_
_atom_site_label
_atom_site_fract_x
_atom_site_fract_y
_atom_site_fract_z
_atom_site_occupancy
Na1 0.3333 0.6667 0.2500 1
Nb1 0.3333 0.6667 0.7500 1
Tl1 0.0000 0.0000 0.0000 1
Br1 0.0390 0.3891 0.6397 1
# Formation energy from raw total energies: -8.97 eV per formula unit
# VASP energy: -3.6406 eV/atom